(1)
Compound: CaErTlIr
Source: Alexandria
Functional: GGA-PBE
Structure: optimized geometry

Its final energy is -4.81 eV/atom. Its crystal system is cubic. For the formation energy, the calculation gives -0.363 eV per atom.

a = 5.070 Å, b = 5.070 Å, c = 5.070 Å
α = 60.00°, β = 60.00°, γ = 60.00°
Fractional positions:
Tl 0.500 0.500 0.500
Ir 0.000 0.000 0.000
Ca 0.250 0.250 0.250
Er 0.750 0.750 0.750

(2)
Compound: ZrIn
Source: Alexandria
Functional: GGA-PBE
Structure: optimized geometry

Its final energy is -5.65 eV/atom. Its crystal system is tetragonal. For the formation energy, the calculation gives -0.005 eV per atom.

a = 11.106 Å, b = 11.106 Å, c = 3.255 Å
α = 90.00°, β = 90.00°, γ = 90.00°
Fractional positions:
Zr 0.402 0.861 0.000
Zr 0.598 0.139 0.000
Zr 0.139 0.402 0.000
Zr 0.861 0.598 0.000
Zr 0.902 0.361 0.500
Zr 0.098 0.639 0.500
Zr 0.639 0.902 0.500
Zr 0.361 0.098 0.500
In 0.409 0.335 0.000
In 0.591 0.665 0.000
In 0.665 0.409 0.000
In 0.335 0.591 0.000
In 0.909 0.835 0.500
In 0.091 0.165 0.500
In 0.165 0.909 0.500
In 0.835 0.091 0.500

(3)
Compound: USiPt2
Source: Alexandria
Functional: GGA-PBE
Structure: optimized geometry

Its final energy is -7.64 eV/atom. Its crystal system is orthorhombic.

a = 4.001 Å, b = 4.422 Å, c = 4.417 Å
α = 101.77°, β = 90.00°, γ = 90.00°
Fractional positions:
U 0.500 0.500 0.000
Si 0.500 0.000 0.500
Pt 0.000 0.212 0.288
Pt 0.000 0.788 0.712

(4)
Compound: YMoN3
Source: Alexandria
Functional: GGA-PBE
Structure: optimized geometry

Its final energy is -9.02 eV/atom. Its crystal system is hexagonal.

a = 3.543 Å, b = 3.543 Å, c = 12.383 Å
α = 90.00°, β = 90.00°, γ = 120.00°
Fractional positions:
Y 0.000 0.000 0.000
Y 0.000 0.000 0.500
Mo 0.333 0.667 0.750
Mo 0.667 0.333 0.250
N 0.000 0.000 0.250
N 0.000 0.000 0.750
N 0.333 0.667 0.906
N 0.333 0.667 0.594
N 0.667 0.333 0.406
N 0.667 0.333 0.094

(5)
Compound: LiCa2NiSn
Source: Alexandria
Functional: GGA-PBE
Structure: optimized geometry

Its final energy is -3.35 eV/atom. Its crystal system is tetragonal. For the formation energy, the calculation gives -0.213 eV per atom.

a = 5.427 Å, b = 5.427 Å, c = 4.833 Å
α = 90.00°, β = 90.00°, γ = 90.00°
Fractional positions:
Ni 0.000 0.000 0.000
Ca 0.000 0.500 0.000
Ca 0.500 0.000 0.000
Sn 0.000 0.000 0.500
Li 0.500 0.500 0.500

(6)
Compound: Tl2CoPbCl6
Source: Alexandria
Functional: GGA-PBE
Structure: optimized geometry

Its final energy is -3.55 eV/atom. Its crystal system is triclinic.

a = 7.573 Å, b = 7.224 Å, c = 7.424 Å
α = 119.69°, β = 120.03°, γ = 91.11°
Fractional positions:
Tl 0.771 0.284 0.538
Tl 0.228 0.717 0.462
Co 0.000 0.000 0.000
Pb 0.500 0.500 0.000
Cl 0.692 0.745 0.892
Cl 0.843 0.800 0.543
Cl 0.307 0.256 0.108
Cl 0.792 0.254 0.968
Cl 0.156 0.200 0.457
Cl 0.208 0.747 0.032

(7)
Compound: FeW
Source: Alexandria
Functional: GGA-PBE
Structure: optimized geometry

Its final energy is -9.85 eV/atom. Its crystal system is cubic. For the formation energy, the calculation gives 0.856 eV per atom.

a = 3.446 Å, b = 3.446 Å, c = 3.446 Å
α = 60.00°, β = 60.00°, γ = 60.00°
Fractional positions:
Fe 0.000 0.000 0.000
W 0.500 0.500 0.500

(8)
Compound: Pa4Tc7Sb6
Source: Alexandria
Functional: GGA-PBE
Structure: optimized geometry

Its final energy is -8.40 eV/atom. Its crystal system is cubic.

a = 7.606 Å, b = 7.606 Å, c = 7.606 Å
α = 109.47°, β = 109.47°, γ = 109.47°
Fractional positions:
Pa 0.500 0.000 0.000
Pa 0.500 0.500 0.500
Pa 0.000 0.500 0.000
Pa 0.000 0.000 0.500
Tc 0.750 0.500 0.250
Tc 0.250 0.750 0.500
Tc 0.500 0.750 0.250
Tc 0.750 0.250 0.500
Tc 0.250 0.500 0.750
Tc 0.500 0.250 0.750
Tc 0.000 0.000 0.000
Sb 0.690 0.000 0.690
Sb 0.690 0.690 0.000
Sb 0.000 0.310 0.310
Sb 0.310 0.000 0.310
Sb 0.310 0.310 0.000
Sb 0.000 0.690 0.690

(9)
Compound: LaYZnRh
Source: Alexandria
Functional: GGA-PBE
Structure: optimized geometry

Its final energy is -5.52 eV/atom. Its crystal system is cubic. For the formation energy, the calculation gives -0.521 eV per atom.

a = 5.080 Å, b = 5.080 Å, c = 5.080 Å
α = 60.00°, β = 60.00°, γ = 60.00°
Fractional positions:
Y 0.500 0.500 0.500
Zn 0.750 0.750 0.750
Rh 0.250 0.250 0.250
La 0.000 0.000 0.000

(10)
Compound: K3Nd3BiS8
Source: Alexandria
Functional: GGA-PBE
Structure: optimized geometry

Its final energy is -5.12 eV/atom. Its crystal system is trigonal.

a = 8.301 Å, b = 8.299 Å, c = 8.913 Å
α = 117.77°, β = 90.00°, γ = 120.01°
Fractional positions:
K 0.000 0.000 0.000
K 0.000 0.500 0.000
K 0.500 0.500 0.000
Nd 0.500 0.000 0.500
Nd 0.500 0.500 0.500
Nd 0.000 0.500 0.500
Bi 0.000 0.000 0.500
S 0.265 0.530 0.295
S 0.735 0.470 0.705
S 0.771 0.542 0.298
S 0.229 0.458 0.702
S 0.771 0.027 0.298
S 0.229 0.973 0.702
S 0.256 0.027 0.298
S 0.744 0.973 0.702

(11)
Compound: Tb4PAuSe2
Source: Alexandria
Functional: GGA-PBE
Structure: optimized geometry

Its final energy is -5.77 eV/atom. Its crystal system is monoclinic.

a = 4.045 Å, b = 7.138 Å, c = 7.185 Å
α = 71.43°, β = 90.00°, γ = 90.00°
Fractional positions:
Tb 0.000 0.745 0.742
Tb 0.000 0.255 0.258
Tb 0.500 0.737 0.265
Tb 0.500 0.263 0.735
P 0.000 0.500 0.500
Au 0.500 0.500 0.000
Se 0.000 0.000 0.000
Se 0.500 0.000 0.500

(12)
Compound: CoTe4Cl
Source: Alexandria
Functional: GGA-PBE
Structure: optimized geometry

Its final energy is -2.90 eV/atom. Its crystal system is cubic. Its distance to the lowest polymorph of the same formula is 828 meV/atom.

a = 6.259 Å, b = 6.259 Å, c = 6.259 Å
α = 60.00°, β = 60.00°, γ = 60.00°
Fractional positions:
Co 0.000 0.000 0.000
Te 0.874 0.375 0.375
Te 0.375 0.375 0.874
Te 0.375 0.874 0.375
Te 0.375 0.375 0.375
Cl 0.750 0.750 0.750

(13)
Compound: LaNi2W
Source: Alexandria
Functional: GGA-PBE
Structure: optimized geometry

Its final energy is -7.30 eV/atom. Its crystal system is monoclinic. For the formation energy, the calculation gives 0.063 eV per atom. Its distance to the lowest polymorph of the same formula is 88 meV/atom.

a = 4.202 Å, b = 4.202 Å, c = 5.755 Å
α = 68.51°, β = 68.51°, γ = 60.01°
Fractional positions:
La 0.250 0.250 0.250
Ni 0.058 0.058 0.826
Ni 0.755 0.755 0.735
W 0.437 0.437 0.689

(14)
Compound: KH4Au
Source: Alexandria
Functional: GGA-PBE
Structure: optimized geometry

Its final energy is -2.95 eV/atom. Its crystal system is monoclinic. Its distance to the lowest polymorph of the same formula is 137 meV/atom.

a = 5.187 Å, b = 4.885 Å, c = 6.544 Å
α = 90.00°, β = 90.00°, γ = 90.16°
Fractional positions:
K 0.500 0.250 0.287
K 0.500 0.750 0.713
H 0.193 0.473 0.017
H 0.237 0.271 0.680
H 0.807 0.027 0.017
H 0.763 0.729 0.320
H 0.763 0.229 0.680
H 0.193 0.973 0.983
H 0.237 0.771 0.320
H 0.807 0.527 0.983
Au 0.000 0.250 0.855
Au 0.000 0.750 0.145

(15)
Compound: NdEr2UAs4
Source: Alexandria
Functional: GGA-PBE
Structure: optimized geometry

Its final energy is -6.78 eV/atom. Its crystal system is monoclinic. For the formation energy, the calculation gives -1.306 eV per atom.

a = 4.117 Å, b = 7.154 Å, c = 7.148 Å
α = 109.21°, β = 90.00°, γ = 90.00°
Fractional positions:
Nd 0.500 0.500 0.000
Er 0.500 0.000 0.500
Er 0.000 0.500 0.500
U 0.000 0.000 0.000
As 0.500 0.245 0.254
As 0.500 0.755 0.746
As 0.000 0.239 0.744
As 0.000 0.761 0.256

(16)
Compound: Cs2TlGe2Br7
Source: Alexandria
Functional: GGA-PBE
Structure: optimized geometry

Its final energy is -3.12 eV/atom. Its crystal system is monoclinic.

a = 5.618 Å, b = 5.618 Å, c = 14.982 Å
α = 79.73°, β = 79.73°, γ = 89.35°
Fractional positions:
Cs 0.821 0.821 0.360
Cs 0.179 0.179 0.640
Tl 0.000 0.000 0.000
Ge 0.614 0.614 0.807
Ge 0.386 0.386 0.193
Br 0.500 0.500 0.000
Br 0.300 0.300 0.387
Br 0.700 0.700 0.613
Br 0.925 0.411 0.183
Br 0.411 0.925 0.183
Br 0.589 0.075 0.817
Br 0.075 0.589 0.817

(17)
Compound: Ba2Tl5Sn
Source: Alexandria
Functional: GGA-PBE
Structure: optimized geometry

Its final energy is -2.75 eV/atom. Its crystal system is tetragonal. For the formation energy, the calculation gives -0.286 eV per atom.

a = 7.501 Å, b = 7.501 Å, c = 7.501 Å
α = 82.89°, β = 124.19°, γ = 124.19°
Fractional positions:
Ba 0.500 0.278 0.778
Ba 0.500 0.778 0.278
Tl 0.467 0.761 0.761
Tl 0.000 0.761 0.294
Tl 0.000 0.294 0.761
Tl 0.533 0.294 0.294
Tl 0.000 0.199 0.199
Sn 0.000 0.857 0.857